[1]
An optimized crystal structure of MgScAs. Source: Alexandria, functional GGA-PBEsol.

Cell and atoms, written as extended XYZ:
```
3
Lattice="-1.614 2.718 -1.178 -0.875 -0.129 3.256 5.741 1.954 0.298" Properties=species:S:1:pos:R:3 pbc="T T T"
Sc 3.225 2.330 0.959
As 3.188 4.498 2.358
Mg 0.089 2.259 1.436
```

Output
- Formation energy: -50.7 kJ/mol of atoms
- Total DFT energy (no corrections): -5.001 eV per atom

---

[2]
An optimized crystal structure of MgAsSe2. Source: Alexandria, functional GGA-PBEsol.

Cell and atoms, written as extended XYZ:
```
4
Lattice="-0.807 2.764 4.659 -0.611 -3.351 1.882 3.799 -0.241 0.801" Properties=species:S:1:pos:R:3 pbc="T T T"
As 1.043 -2.185 1.477
Mg 2.845 0.753 3.265
Se 3.248 -0.630 0.937
Se 0.639 -0.802 3.806
```

Output
- Total DFT energy (no corrections): -4.210 eV per atom
- Energy relative to the lowest polymorph listed for this composition: 0 meV per atom

---

[3]
An optimized crystal structure of Mg3AsSe. Source: Alexandria, functional GGA-PBEsol.

Cell and atoms, written as extended XYZ:
```
5
Lattice="-2.875 3.793 1.373 -4.033 -2.735 -0.889 0.077 -1.634 4.675" Properties=species:S:1:pos:R:3 pbc="T T T"
As -3.415 -0.288 2.580
Mg -2.016 -1.368 -0.445
Mg 0.039 -0.817 2.338
Mg -1.438 1.896 0.687
Se 0.000 0.000 0.000
```

Output
- Total DFT energy (no corrections): -2.910 eV per atom

---

[4]
An optimized crystal structure of MgAsSe2. Source: Alexandria, functional GGA-PBEsol.

Cell and atoms, written as extended XYZ:
```
4
Lattice="-1.109 -1.637 -3.319 -3.300 -2.558 2.364 -1.985 4.144 -1.381" Properties=species:S:1:pos:R:3 pbc="T T T"
As -3.197 -0.025 -1.168
Mg -0.554 -0.819 -1.659
Se -2.963 -0.840 1.404
Se -2.322 2.427 -0.421
```

Output
- Total DFT energy (no corrections): -4.003 eV per atom
- Energy relative to the lowest polymorph listed for this composition: 207 meV per atom

---

[5]
An optimized crystal structure of MgAsSe2. Source: Alexandria, functional GGA-PBEsol.

Cell and atoms, written as extended XYZ:
```
4
Lattice="3.840 0.000 0.000 1.920 3.326 0.000 1.920 1.109 7.784" Properties=species:S:1:pos:R:3 pbc="T T T"
As 0.000 0.000 0.000
Mg 3.840 2.217 3.892
Se 5.761 3.326 2.443
Se 1.920 1.109 5.340
```

Output
- Total DFT energy (no corrections): -3.846 eV per atom
- Energy relative to the lowest polymorph listed for this composition: 364 meV per atom

---

[6]
An optimized crystal structure of MgAsSe2. Source: Alexandria, functional GGA-PBEsol.

Cell and atoms, written as extended XYZ:
```
4
Lattice="4.035 0.000 0.000 2.017 3.494 0.000 2.017 1.165 6.842" Properties=species:S:1:pos:R:3 pbc="T T T"
As 4.035 2.329 3.705
Mg 2.017 1.165 1.336
Se 6.052 3.494 0.413
Se 6.052 3.494 4.808
```

Output
- Total DFT energy (no corrections): -3.905 eV per atom
- Energy relative to the lowest polymorph listed for this composition: 305 meV per atom

---

[7]
An optimized crystal structure of MgAsSe2. Source: Alexandria, functional GGA-PBEsol.

Cell and atoms, written as extended XYZ:
```
4
Lattice="3.995 0.000 0.000 0.000 4.097 0.000 -1.997 -2.048 5.418" Properties=species:S:1:pos:R:3 pbc="T T T"
As 1.997 0.000 0.000
Mg 0.000 2.048 0.000
Se 0.000 0.000 3.627
Se 1.997 2.048 1.791
```

Output
- Total DFT energy (no corrections): -3.934 eV per atom
- Energy relative to the lowest polymorph listed for this composition: 276 meV per atom

---

[8]
An optimized crystal structure of MgSiAs2Se. Source: Alexandria, functional GGA-PBEsol.

Cell and atoms, written as extended XYZ:
```
5
Lattice="4.733 0.000 0.000 0.000 4.733 0.000 0.000 0.000 4.856" Properties=species:S:1:pos:R:3 pbc="T T T"
Mg 2.366 2.366 2.428
As 0.000 2.366 0.000
As 2.366 0.000 0.000
Si 0.000 0.000 0.000
Se 0.000 0.000 2.428
```

Output
- Total DFT energy (no corrections): -4.001 eV per atom
- Energy relative to the lowest polymorph listed for this composition: 0 meV per atom

---

[9]
An optimized crystal structure of MgSiAs2Se. Source: Alexandria, functional GGA-PBEsol.

Cell and atoms, written as extended XYZ:
```
5
Lattice="4.852 0.000 0.000 0.000 4.852 0.000 0.000 0.000 4.964" Properties=species:S:1:pos:R:3 pbc="T T T"
Mg 0.000 0.000 0.000
As 0.000 2.426 0.000
As 2.426 0.000 0.000
Si 2.426 2.426 2.482
Se 0.000 0.000 2.482
```

Output
- Total DFT energy (no corrections): -3.501 eV per atom
- Energy relative to the lowest polymorph listed for this composition: 500 meV per atom

---

[10]
An optimized crystal structure of SrMgAsSe2. Source: Alexandria, functional GGA-PBEsol.

Cell and atoms, written as extended XYZ:
```
5
Lattice="-4.117 1.124 -2.303 -1.806 -4.727 0.920 -2.031 1.639 4.431" Properties=species:S:1:pos:R:3 pbc="T T T"
Sr -3.977 -0.982 1.524
As -2.058 0.562 -1.151
Mg 0.000 0.000 0.000
Se -1.016 0.819 2.216
Se -0.903 -2.363 0.460
```

Output
- Total DFT energy (no corrections): -3.881 eV per atom

---

[11]
An optimized crystal structure of MgAs2WSe. Source: Alexandria, functional GGA-PBEsol.

Cell and atoms, written as extended XYZ:
```
5
Lattice="4.725 0.000 0.000 0.000 4.725 0.000 0.000 0.000 5.412" Properties=species:S:1:pos:R:3 pbc="T T T"
Mg 0.000 0.000 2.706
As 0.000 2.363 0.000
As 2.363 0.000 0.000
Se 2.363 2.363 2.706
W 0.000 0.000 0.000
```

Output
- Total DFT energy (no corrections): -5.378 eV per atom

---

[12]
An optimized crystal structure of Mg2SiAs. Source: Alexandria, functional GGA-PBEsol.

Cell and atoms, written as extended XYZ:
```
4
Lattice="4.712 0.000 0.000 2.356 4.081 0.000 2.356 1.360 3.848" Properties=species:S:1:pos:R:3 pbc="T T T"
As 0.000 0.000 0.000
Mg 7.069 4.081 2.886
Mg 2.356 1.360 0.962
Si 4.712 2.721 1.924
```

Output
- Total DFT energy (no corrections): -3.596 eV per atom
- Energy relative to the lowest polymorph listed for this composition: 60 meV per atom

---

[13]
An optimized crystal structure of Mg2SiAs. Source: Alexandria, functional GGA-PBEsol.

Cell and atoms, written as extended XYZ:
```
4
Lattice="-2.725 -1.368 0.190 1.138 -2.467 -1.397 1.983 -2.991 6.898" Properties=species:S:1:pos:R:3 pbc="T T T"
As -0.794 -1.918 -0.603
Mg 0.507 -0.764 1.763
Mg 1.476 -2.226 5.135
Si 0.198 -3.413 2.846
```

Output
- Total DFT energy (no corrections): -3.656 eV per atom
- Energy relative to the lowest polymorph listed for this composition: 0 meV per atom

---

[14]
An optimized crystal structure of MgSiAs. Source: Alexandria, functional GGA-PBEsol.

Cell and atoms, written as extended XYZ:
```
3
Lattice="4.421 0.000 0.000 2.211 3.829 0.000 2.211 1.276 3.610" Properties=species:S:1:pos:R:3 pbc="T T T"
Mg 2.211 1.276 0.903
As 4.421 2.553 1.805
Si 0.000 0.000 0.000
```

Output
- Total DFT energy (no corrections): -3.968 eV per atom

---

[15]
An optimized crystal structure of Mg2SiAs. Source: Alexandria, functional GGA-PBEsol.

Cell and atoms, written as extended XYZ:
```
4
Lattice="-3.161 1.228 -1.424 0.350 -2.351 -2.806 -2.797 -3.856 2.882" Properties=species:S:1:pos:R:3 pbc="T T T"
As -3.575 -3.554 0.122
Mg -2.692 -3.712 2.774
Mg -2.200 -1.657 -1.296
Si -1.334 -1.839 1.375
```

Output
- Total DFT energy (no corrections): -3.558 eV per atom
- Energy relative to the lowest polymorph listed for this composition: 98 meV per atom